Entry 1:
# Mg2BeAs

A relaxed Mg2BeAs crystal (GGA-PBE, Alexandria).

a = 11.703 Å, b = 3.268 Å, c = 4.113 Å
α = 90.00°, β = 110.39°, γ = 90.00°
Fractional coordinates of all 8 atoms:
Mg 0.000 0.000 0.000
Mg 0.209 0.000 0.710
Mg 0.500 0.500 0.000
Mg 0.709 0.500 0.710
Be 0.471 0.000 0.472
Be 0.971 0.500 0.472
As 0.317 0.500 0.318
As 0.817 0.000 0.318

Summary:
The energy above the most stable polymorph in this dataset is 0.89 eV per formula unit. The value obtained for the density of states at the Fermi level is 0.262 states/eV/atom. The space group is No. 8.

***

Entry 2:
# TiBeCo

A relaxed TiBeCo crystal (GGA-PBE, Alexandria).

a = 4.538 Å, b = 4.806 Å, c = 6.281 Å
α = 90.00°, β = 90.00°, γ = 90.00°
Fractional coordinates of all 12 atoms:
Ti 0.000 0.250 0.128
Ti 0.000 0.750 0.872
Ti 0.500 0.250 0.372
Ti 0.500 0.750 0.628
Be 0.250 0.250 0.750
Be 0.250 0.750 0.250
Be 0.750 0.250 0.750
Be 0.750 0.750 0.250
Co 0.000 0.000 0.500
Co 0.000 0.500 0.500
Co 0.500 0.000 0.000
Co 0.500 0.500 0.000

Summary:
The energy above the most stable polymorph in this dataset is 0.00 eV per formula unit. The value obtained for the density of states at the Fermi level is 1.127 states/eV/atom. The space group is No. 74.

***

Entry 3:
# Tb2SmTmIn4

A relaxed Tb2SmTmIn4 crystal (GGA-PBE, Alexandria).

a = 9.263 Å, b = 9.263 Å, c = 9.263 Å
α = 33.45°, β = 33.45°, γ = 33.45°
Fractional coordinates of all 8 atoms:
Tb 0.249 0.249 0.249
Tb 0.751 0.751 0.751
Sm 0.000 0.000 0.000
Tm 0.500 0.500 0.500
In 0.126 0.126 0.126
In 0.376 0.376 0.376
In 0.624 0.624 0.624
In 0.874 0.874 0.874

Summary:
The calculation puts the total energy at -4.141 eV/atom. The value obtained for the density of states at the Fermi level is 0.438 states/eV/atom. The space group is No. 166.

***

Entry 4:
# Ba6As2SeI2

A relaxed Ba6As2SeI2 crystal (GGA-PBE, Alexandria).

a = 8.356 Å, b = 8.356 Å, c = 8.612 Å
α = 99.26°, β = 99.26°, γ = 119.76°
Fractional coordinates of all 11 atoms:
Ba 0.091 0.426 0.787
Ba 0.227 0.227 0.213
Ba 0.426 0.091 0.787
Ba 0.574 0.909 0.213
Ba 0.773 0.773 0.787
Ba 0.909 0.574 0.213
As 0.168 0.832 0.000
As 0.832 0.168 0.000
Se 0.500 0.500 0.000
I 0.335 0.665 0.500
I 0.665 0.335 0.500

Summary:
The value obtained for the density of states at the Fermi level is 0.452 states/eV/atom. The value obtained for the formation energy from raw total energies is -1.4041 eV per atom. The space group is No. 12.

***

Entry 5:
# Sc2PH

A relaxed Sc2PH crystal (GGA-PBE, Alexandria).

a = 3.562 Å, b = 3.562 Å, c = 18.792 Å
α = 90.00°, β = 90.00°, γ = 120.00°
Fractional coordinates of all 12 atoms:
Sc 0.000 0.000 0.000
Sc 0.000 0.000 0.173
Sc 0.333 0.667 0.667
Sc 0.333 0.667 0.840
Sc 0.667 0.333 0.333
Sc 0.667 0.333 0.506
P 0.000 0.000 0.590
P 0.333 0.667 0.257
P 0.667 0.333 0.924
H 0.000 0.000 0.802
H 0.333 0.667 0.468
H 0.667 0.333 0.135

Summary:
The energy above the most stable polymorph in this dataset is 0.46 eV per formula unit. The value obtained for the density of states at the Fermi level is 0.067 states/eV/atom. The space group is No. 160.

***

Entry 6:
# LuPaTe

A relaxed LuPaTe crystal (GGA-PBE, Alexandria).

a = 5.103 Å, b = 5.103 Å, c = 3.630 Å
α = 90.00°, β = 90.00°, γ = 120.00°
Fractional coordinates of all 3 atoms:
Lu 0.000 0.000 0.000
Pa 0.667 0.333 0.500
Te 0.333 0.667 0.000

Summary:
The energy above the most stable polymorph in this dataset is 0.62 eV per formula unit. The value obtained for the density of states at the Fermi level is 1.762 states/eV/atom. The value obtained for the formation energy from raw total energies is -0.1463 eV per atom. The space group is No. 187.

***

Entry 7:
# Y8Tl2In

A relaxed Y8Tl2In crystal (GGA-PBE, Alexandria).

a = 8.640 Å, b = 8.640 Å, c = 8.592 Å
α = 118.80°, β = 118.80°, γ = 36.08°
Fractional coordinates of all 11 atoms:
Y 0.064 0.064 0.219
Y 0.138 0.138 0.684
Y 0.320 0.320 0.553
Y 0.408 0.408 0.050
Y 0.592 0.592 0.950
Y 0.680 0.680 0.447
Y 0.862 0.862 0.316
Y 0.936 0.936 0.781
Tl 0.222 0.222 0.122
Tl 0.778 0.778 0.878
In 0.500 0.500 0.500

Summary:
The energy above the most stable polymorph in this dataset is 0.00 eV per formula unit. The value obtained for the density of states at the Fermi level is 0.908 states/eV/atom. The space group is No. 12.

***

Entry 8:
# Tl3In12As5

A relaxed Tl3In12As5 crystal (GGA-PBE, Alexandria).

a = 14.800 Å, b = 14.800 Å, c = 14.800 Å
α = 109.47°, β = 109.47°, γ = 109.47°
Fractional coordinates of all 80 atoms:
Tl 0.125 0.250 0.375
Tl 0.125 0.375 0.750
Tl 0.250 0.375 0.125
Tl 0.250 0.875 0.625
Tl 0.375 0.125 0.250
Tl 0.375 0.750 0.125
Tl 0.625 0.250 0.875
Tl 0.625 0.875 0.750
Tl 0.750 0.125 0.375
Tl 0.750 0.625 0.875
Tl 0.875 0.625 0.250
Tl 0.875 0.750 0.625
In 0.050 0.223 0.131
In 0.050 0.327 0.920
In 0.080 0.631 0.408
In 0.080 0.950 0.673
In 0.092 0.723 0.673
In 0.092 0.869 0.420
In 0.131 0.050 0.223
In 0.131 0.580 0.908
In 0.173 0.223 0.592
In 0.173 0.450 0.580
In 0.223 0.131 0.050
In 0.223 0.592 0.173
In 0.277 0.327 0.908
In 0.277 0.450 0.369
In 0.327 0.908 0.277
In 0.327 0.920 0.050
In 0.369 0.277 0.450
In 0.369 0.592 0.920
In 0.408 0.080 0.631
In 0.408 0.827 0.777
In 0.420 0.092 0.869
In 0.420 0.827 0.550
In 0.450 0.369 0.277
In 0.450 0.580 0.173
In 0.550 0.420 0.827
In 0.550 0.631 0.723
In 0.580 0.173 0.450
In 0.580 0.908 0.131
In 0.592 0.173 0.223
In 0.592 0.920 0.369
In 0.631 0.408 0.080
In 0.631 0.723 0.550
In 0.673 0.080 0.950
In 0.673 0.092 0.723
In 0.723 0.550 0.631
In 0.723 0.673 0.092
In 0.777 0.408 0.827
In 0.777 0.869 0.950
In 0.827 0.550 0.420
In 0.827 0.777 0.408
In 0.869 0.420 0.092
In 0.869 0.950 0.777
In 0.908 0.131 0.580
In 0.908 0.277 0.327
In 0.920 0.050 0.327
In 0.920 0.369 0.592
In 0.950 0.673 0.080
In 0.950 0.777 0.869
As 0.000 0.000 0.000
As 0.000 0.000 0.500
As 0.000 0.500 0.000
As 0.000 0.500 0.500
As 0.125 0.750 0.875
As 0.125 0.875 0.250
As 0.250 0.125 0.875
As 0.250 0.625 0.375
As 0.375 0.250 0.625
As 0.375 0.625 0.750
As 0.500 0.000 0.000
As 0.500 0.000 0.500
As 0.500 0.500 0.000
As 0.500 0.500 0.500
As 0.625 0.375 0.250
As 0.625 0.750 0.375
As 0.750 0.375 0.625
As 0.750 0.875 0.125
As 0.875 0.125 0.750
As 0.875 0.250 0.125

Summary:
The calculation puts the total energy at -3.077 eV/atom. The value obtained for the density of states at the Fermi level is 0.479 states/eV/atom. The space group is No. 230.